BaMgBr2 | PBE | relaxed

formation energy from raw total energies = -489 kJ/mol of formula units

Geometry as extended XYZ:
```
4
Lattice="4.926 -0.017 0.014 2.477 4.258 0.014 2.381 1.364 10.046" Properties=species:S:1:pos:R:3 pbc="T T T"
Ba 2.446 1.401 2.518
Br 7.384 4.230 0.954
Br 4.911 2.813 4.110
Mg 7.338 4.204 7.555
```

BaMg2Br | PBE | relaxed

N(E_F) = 2.8 states/eV per cell
formation energy from raw total energies = -50 kJ/mol of formula units

Geometry as extended XYZ:
```
4
Lattice="-0.902 -4.662 3.440 0.624 0.479 5.810 -4.713 -0.207 3.482" Properties=species:S:1:pos:R:3 pbc="T T T"
Mg -1.248 -1.098 3.183
Mg -3.743 -3.293 9.549
Ba -2.495 -2.195 6.366
Br 0.000 0.000 0.000
```

BaMg2Br | PBE | relaxed

N(E_F) = 2.8 states/eV per cell
formation energy from raw total energies = -116 kJ/mol of formula units

Geometry as extended XYZ:
```
4
Lattice="3.871 0.000 0.000 0.000 3.871 0.000 0.000 0.000 8.848" Properties=species:S:1:pos:R:3 pbc="T T T"
Ba 1.936 1.936 2.212
Br 1.936 1.936 6.636
Mg 0.000 0.000 8.442
Mg 0.000 0.000 4.830
```

BaMgBr2 | PBE | relaxed

N(E_F) = 0.6 states/eV per cell
formation energy from raw total energies = -444 kJ/mol of formula units

Geometry as extended XYZ:
```
4
Lattice="-4.960 4.317 1.857 -5.487 0.950 -3.959 3.638 -5.142 2.648" Properties=species:S:1:pos:R:3 pbc="T T T"
Ba -3.273 0.904 1.727
Br 0.000 0.000 0.000
Br -3.537 -0.780 -1.181
Mg -5.224 2.633 -1.051
```

Ba3MgBr | PBE | relaxed

N(E_F) = 8.2 states/eV per cell
formation energy from raw total energies = -214 kJ/mol of formula units

Geometry as extended XYZ:
```
5
Lattice="-6.121 1.028 1.200 -1.330 -5.946 -1.688 0.854 -1.887 5.973" Properties=species:S:1:pos:R:3 pbc="T T T"
Mg -3.299 -3.402 2.743
Ba -0.665 -2.973 -0.844
Ba 0.427 -0.944 2.987
Ba -3.061 0.514 0.600
Br 0.000 0.000 0.000
```

Ba2MgBr2 | PBE | relaxed

N(E_F) = 7.9 states/eV per cell
formation energy from raw total energies = -523 kJ/mol of formula units

Geometry as extended XYZ:
```
10
Lattice="-7.134 -3.154 -5.421 3.452 -8.830 0.594 -2.241 -0.652 3.328" Properties=species:S:1:pos:R:3 pbc="T T T"
Mg 0.000 0.000 0.000
Mg -1.841 -5.992 -2.414
Ba -0.034 -6.822 1.123
Ba -3.075 -9.747 -1.497
Ba -5.889 -5.813 -2.622
Ba -2.849 -2.889 -0.002
Br 0.352 -8.884 -1.503
Br -4.063 -8.290 -4.360
Br -4.035 -3.100 -3.324
Br 0.381 -3.694 -0.467
```

BaMg2Br | PBE | relaxed

N(E_F) = 2.0 states/eV per cell
formation energy from raw total energies = -209 kJ/mol of formula units

Geometry as extended XYZ:
```
4
Lattice="-1.998 -1.714 2.998 -0.743 -3.169 -2.307 8.269 -4.203 3.110" Properties=species:S:1:pos:R:3 pbc="T T T"
Ba 4.197 -2.133 1.578
Br 4.259 -5.303 2.462
Mg 0.692 -0.352 0.260
Mg 0.515 -3.400 1.054
```

BaMg2Br | PBE | relaxed

N(E_F) = 1.7 states/eV per cell
formation energy from raw total energies = -207 kJ/mol of formula units

Geometry as extended XYZ:
```
4
Lattice="-3.156 -0.224 -2.382 -2.683 -2.316 3.773 -2.093 6.020 2.207" Properties=species:S:1:pos:R:3 pbc="T T T"
Ba -2.625 2.898 -0.088
Br -2.388 1.852 2.990
Mg 0.000 0.000 0.000
Mg -2.920 -1.270 0.695
```

BaMg2Br | PBE | relaxed

N(E_F) = 4.3 states/eV per cell
formation energy from raw total energies = -151 kJ/mol of formula units

Geometry as extended XYZ:
```
4
Lattice="-3.315 1.349 4.462 -5.685 -0.482 -0.412 -2.737 -4.117 2.877" Properties=species:S:1:pos:R:3 pbc="T T T"
Ba -5.869 -1.625 3.464
Br -8.803 -2.438 5.196
Mg 0.000 0.000 0.000
Mg -2.934 -0.813 1.732
```

BaMg2Br | PBE | relaxed

N(E_F) = 2.3 states/eV per cell
formation energy from raw total energies = -211 kJ/mol of formula units

Geometry as extended XYZ:
```
4
Lattice="-0.632 5.140 5.324 -1.786 1.390 7.074 4.044 0.021 2.712" Properties=species:S:1:pos:R:3 pbc="T T T"
Ba 1.220 4.913 11.332
Br 0.407 1.638 3.777
Mg -2.405 6.521 12.388
Mg 0.800 3.284 7.565
```

BaMg2Br | PBE | relaxed

N(E_F) = 1.9 states/eV per cell
formation energy from raw total energies = -120 kJ/mol of formula units

Geometry as extended XYZ:
```
4
Lattice="10.553 -0.006 -0.004 9.841 3.811 -0.004 9.841 1.836 3.340" Properties=species:S:1:pos:R:3 pbc="T T T"
Ba 7.559 1.410 0.833
Br 22.676 4.230 2.499
Mg 0.462 0.086 0.051
Mg 14.655 2.734 1.615
```

BaMg2Br6 | PBE | relaxed

N(E_F) = 0.0 states/eV per cell
formation energy from raw total energies = -1466 kJ/mol of formula units

Geometry as extended XYZ:
```
9
Lattice="-3.285 -3.701 4.987 5.243 -4.688 -0.025 0.272 5.556 4.303" Properties=species:S:1:pos:R:3 pbc="T T T"
Ba 0.000 0.000 0.000
Mg 1.943 -3.124 3.911
Mg 0.286 0.291 5.354
Br 1.105 -2.115 6.275
Br 2.645 1.569 5.688
Br 4.490 -2.234 4.081
Br -0.416 -4.401 3.576
Br 1.124 -0.718 2.989
Br -2.261 -0.598 5.183
```

BaMgBr2 | PBE | relaxed

N(E_F) = 0.1 states/eV per cell
formation energy from raw total energies = -489 kJ/mol of formula units

Geometry as extended XYZ:
```
4
Lattice="4.547 0.000 0.000 0.000 5.042 0.004 0.000 3.081 6.236" Properties=species:S:1:pos:R:3 pbc="T T T"
Ba 2.274 5.443 5.042
Br 0.000 7.876 5.907
Br 2.274 2.541 2.196
Mg 0.000 4.447 2.455
```